Entry 1:
## Sc2Ag8Hg (PBE)

Data for crystalline Sc2Ag8Hg at its relaxed geometry.

Results
Magnetization   0.0000 μB/atom
E_form   -1.1 eV per formula unit
Calculated volume   418.51 Å³/cell

abc: 14.6823 4.4015 6.9306
angles: 90.00 110.87 90.00
Closest atoms and distances in Å follow each position.
Space group C2/m (No. 12)
One atom of each set of equivalent atoms:
1 Sc 0.2229 0.0000 0.1494 x4  10 Ag 2.91-3.03
2 Ag 0.0392 0.0000 0.2232 x4  9 Ag 2.89-3.17, 1 Sc 2.92, 2 Hg 3.11
3 Ag 0.0928 0.5000 0.9522 x4  8 Ag 2.90-3.17, 3 Sc 2.92-3.03, 1 Hg 2.94
4 Ag 0.1417 0.0000 0.6837 x4  7 Ag 2.88-3.13, 3 Sc 2.91-3.02, 2 Hg 2.98
5 Ag 0.1798 0.5000 0.3997 x4  8 Ag 2.88-3.13, 3 Sc 2.94-3.01, 1 Hg 2.96
6 Hg 0.0000 0.5000 0.5000 x2  12 Ag 2.94-3.11

Entry 2:
## K3YPb (PBE)

Data for crystalline K3YPb at its relaxed geometry.

Results
Energy above the lowest structure with this stoichiometry   0 meV/atom
Magnetization   0.0000 μB/atom
E_form   3.2 eV per formula unit
Calculated volume   297.07 Å³/cell

abc: 6.6724 6.6724 6.6724
angles: 90.00 90.00 90.00
Closest atoms and distances in Å follow each position.
Space group Pm-3m (No. 221)
One atom of each set of equivalent atoms:
1 K 0.0000 0.0000 0.5000 x3  2 Pb 3.34
2 Y 0.5000 0.5000 0.5000 x1  12 K 4.72
3 Pb 0.0000 0.0000 0.0000 x1  6 K 3.34

Entry 3:
## TbHoRh (PBE)

Data for crystalline TbHoRh at its relaxed geometry.

Results
Energy above the lowest structure with this stoichiometry   235 meV/atom
Magnetization   0.0000 μB/atom
E_form   -1.2 eV per formula unit
Calculated volume   73.03 Å³/cell

abc: 4.5660 4.5660 4.0447
angles: 90.00 90.00 120.00
Closest atoms and distances in Å follow each position.
Space group P3m1 (No. 156)
One atom of each set of equivalent atoms:
1 Tb 0.0000 0.0000 0.0000 x1  3 Rh 2.86
2 Ho 0.6667 0.3333 0.4680 x1  3 Rh 2.83
3 Rh 0.3333 0.6667 0.7245 x1  3 Ho 2.83, 3 Tb 2.86

Entry 4:
## TiVMoW (PBE)

Data for crystalline TiVMoW at its relaxed geometry.

Results
Magnetization   0.0000 μB/atom
E_form   1.4 eV per formula unit
Calculated volume   128.09 Å³/cell

abc: 3.3255 3.0196 12.7562
angles: 90.00 90.00 90.00
Closest atoms and distances in Å follow each position.
Space group Amm2 (No. 38)
One atom of each set of equivalent atoms:
1 Ti 0.0000 0.0000 0.0000 x2  2 W 2.61, 4 Mo 2.66
2 V 0.0000 0.0000 0.7655 x2  4 W 2.63, 4 Mo 2.73
3 Mo 0.5000 0.0000 0.3876 x2  4 Ti 2.66, 4 V 2.73, 1 W 2.93
4 W 0.5000 0.0000 0.1582 x2  2 Ti 2.61, 4 V 2.63, 1 Mo 2.93

Entry 5:
## Rb2AgI3 (PBE)

Data for crystalline Rb2AgI3 at its relaxed geometry.

Results
Energy above the lowest structure with this stoichiometry   0 meV/atom
Magnetization   0.0000 μB/atom
Calculated volume   1062.56 Å³/cell
ΔE_f (raw)   -6.5 eV per formula unit

abc: 10.5153 4.9695 20.3341
angles: 90.00 90.00 90.00
Closest atoms and distances in Å follow each position.
Space group Pnma (No. 62)
One atom of each set of equivalent atoms:
1 Rb 0.0797 0.2500 0.2124 x4  7 I 3.73-3.87, 2 Ag 4.17
2 Rb 0.2444 0.7500 0.4581 x4  7 I 3.66-4.01
3 Ag 0.1374 0.2500 0.6362 x4  4 I 2.86-2.93
4 I 0.0054 0.7500 0.6024 x4  2 Ag 2.93
5 I 0.1220 0.7500 0.0705 x4  1 Ag 2.86
6 I 0.1852 0.2500 0.7758 x4  1 Ag 2.88

Entry 6:
## AcNdNiPt (PBE)

Data for crystalline AcNdNiPt at its relaxed geometry.

Results
Energy above the lowest structure with this stoichiometry   134 meV/atom
Magnetization   0.0000 μB/atom
E_form   -2.3 eV per formula unit
Calculated volume   391.11 Å³/cell

abc: 7.3131 7.3131 7.3131
angles: 90.00 90.00 90.00
Closest atoms and distances in Å follow each position.
Space group F-43m (No. 216)
One atom of each set of equivalent atoms:
1 Ac 0.0000 0.0000 0.0000 x4  4 Ni 3.17, 4 Pt 3.17
2 Nd 0.0000 0.0000 0.5000 x4  4 Ni 3.17, 4 Pt 3.17
3 Ni 0.2500 0.2500 0.2500 x4  4 Ac 3.17, 4 Nd 3.17
4 Pt 0.2500 0.2500 0.7500 x4  4 Ac 3.17, 4 Nd 3.17

Entry 7:
## La2InCu3Ni12 (PBE)

Data for crystalline La2InCu3Ni12 at its relaxed geometry.

Results
Magnetization   0.0003 μB/atom
E_form   3.7 eV per formula unit
Calculated volume   854.77 Å³/cell

abc: 6.2057 6.2057 25.6293
angles: 90.00 90.00 120.00
Closest atoms and distances in Å follow each position.
Space group R-3m (No. 166, hexagonal axes)
One atom of each set of equivalent atoms:
1 La 0.0000 0.0000 0.1376 x6  6 Ni 2.78-2.89
2 In 0.0000 0.0000 0.5000 x3  6 Ni 2.78
3 Cu 0.0000 0.5000 0.0000 x9  6 Ni 2.32-2.53
4 Ni 0.0668 0.5334 0.9022 x18  4 Ni 2.41-2.48, 1 Cu 2.53
5 Ni 0.0816 0.5408 0.6240 x18  2 Cu 2.32, 6 Ni 2.34-2.57

Entry 8:
## Y6P2RhS3 (PBE)

Data for crystalline Y6P2RhS3 at its relaxed geometry.

Results
Magnetization   0.0000 μB/atom
Calculated volume   536.58 Å³/cell
ΔE_f (raw)   -20.0 eV per formula unit

abc: 17.3802 3.9554 8.0293
angles: 90.00 103.57 90.00
Closest atoms and distances in Å follow each position.
Space group C2/m (No. 12)
One atom of each set of equivalent atoms:
1 Y 0.0011 0.0000 0.2479 x4  1 P 2.79, 2 Rh 2.80, 3 S 2.83-2.88
2 Y 0.1644 0.5000 0.0878 x4  1 Rh 2.78, 2 P 2.79, 3 S 2.81-2.87
3 Y 0.1694 0.5000 0.5789 x4  3 P 2.77-2.78, 3 S 2.84-2.86
4 P 0.1664 0.0000 0.3343 x4  6 Y 2.77-2.79
5 Rh 0.0000 0.5000 0.0000 x2  6 Y 2.78-2.80
6 S 0.0000 0.5000 0.5000 x2  6 Y 2.83-2.86
7 S 0.1691 0.0000 0.8322 x4  6 Y 2.81-2.88

Entry 9:
## KBiSbS3 (PBE)

Data for crystalline KBiSbS3 at its relaxed geometry.

Results
Magnetization   0.0000 μB/atom
Calculated volume   385.13 Å³/cell
ΔE_f (raw)   -3.0 eV per formula unit

abc: 7.8492 4.3715 11.8657
angles: 90.00 108.93 90.00
Closest atoms and distances in Å follow each position.
Space group P2_1/m (No. 11)
One atom of each set of equivalent atoms:
1 K 0.0283 0.2500 0.2375 x2  5 S 3.26-3.36
2 Bi 0.4856 0.7500 0.8537 x2  6 S 2.82-3.02
3 Sb 0.4051 0.2500 0.5638 x2  3 S 2.47-2.63
4 S 0.2541 0.7500 0.6111 x2  2 Sb 2.63, 1 Bi 2.86
5 S 0.2942 0.2500 0.9054 x2  3 Bi 2.82-2.83
6 S 0.3410 0.7500 0.2470 x2  1 Sb 2.47

Entry 10:
## LiThRe4 (PBE)

Data for crystalline LiThRe4 at its relaxed geometry.

Results
Magnetization   0.0011 μB/atom
E_form   1.1 eV per formula unit
Calculated volume   443.08 Å³/cell

abc: 7.6236 7.6236 7.6236
angles: 90.00 90.00 90.00
Closest atoms and distances in Å follow each position.
Space group F-43m (No. 216)
One atom of each set of equivalent atoms:
1 Li 0.0000 0.0000 0.0000 x4  12 Re 3.16, 4 Th 3.30
2 Th 0.2500 0.2500 0.2500 x4  12 Re 3.16, 4 Li 3.30
3 Re 0.1255 0.1255 0.6255 x16  6 Re 2.69-2.71

Entry 11:
## CoHg2Br (PBE)

Data for crystalline CoHg2Br at its relaxed geometry.

Results
Energy above the lowest structure with this stoichiometry   157 meV/atom
Magnetization   0.5448 μB/atom
Calculated volume   202.47 Å³/cell
ΔE_f (raw)   1.0 eV per formula unit

abc: 3.6004 5.9723 9.4160
angles: 90.00 90.00 90.00
Closest atoms and distances in Å follow each position.
Space group Cmm2 (No. 35)
One atom of each set of equivalent atoms:
1 Co 0.0000 0.0000 0.0000 x2  2 Br 2.39
2 Hg 0.0000 0.0000 0.5034 x2  8 Hg 3.22-3.60
3 Hg 0.0000 0.5000 0.7876 x2  2 Co 2.69
4 Br 0.0000 0.5000 0.1663 x2  2 Co 2.39

What is the formula in the tenth record?
LiThRe4

What did the second record say?
## K3YPb (PBE)

Data for crystalline K3YPb at its relaxed geometry.

Results
Energy above the lowest structure with this stoichiometry   0 meV/atom
Magnetization   0.0000 μB/atom
E_form   3.2 eV per formula unit
Calculated volume   297.07 Å³/cell

abc: 6.6724 6.6724 6.6724
angles: 90.00 90.00 90.00
Closest atoms and distances in Å follow each position.
Space group Pm-3m (No. 221)
One atom of each set of equivalent atoms:
1 K 0.0000 0.0000 0.5000 x3  2 Pb 3.34
2 Y 0.5000 0.5000 0.5000 x1  12 K 4.72
3 Pb 0.0000 0.0000 0.0000 x1  6 K 3.34

What is the calculated volume in the third record?
73.03 Å³/cell